Model P:
# CsNa2AgPd

A geometry-optimized CsNa2AgPd structure (PBE, Alexandria).

Summary:
Total magnetic moment in μB per formula unit: 0.00
SG: P4/mmm, No. 123

Cell lengths 6.4991, 5.3688, 6.4991 Å; angles 90.00, 90.00, 90.00 degrees
Closest atoms and distances in Å follow each position.
Element x y z (fractional)
Cs  0.0000  0.0000  0.0000  2 Pd 2.68
Na  0.0000  0.0000  0.5000  2 Cs 3.25
Na  0.5000  0.0000  0.0000  2 Cs 3.25
Pd  0.0000  0.5000  0.0000  2 Cs 2.68
Ag  0.5000  0.5000  0.5000  8 Na 4.21, 4 Pd 4.60


Model Q:
# CsNa2AgPd

A geometry-optimized CsNa2AgPd structure (PBE, Alexandria).

Summary:
Total magnetic moment in μB per formula unit: 0.00
SG: P4/mmm, No. 123

Cell lengths 5.5652, 5.5652, 5.4484 Å; angles 90.00, 90.00, 90.00 degrees
Closest atoms and distances in Å follow each position.
Element x y z (fractional)
Cs  0.5000  0.5000  0.5000  8 Na 3.89, 4 Ag 3.94
Na  0.0000  0.5000  0.0000  2 Pd 2.78
Na  0.5000  0.0000  0.0000  2 Pd 2.78
Pd  0.0000  0.0000  0.0000  2 Ag 2.72, 4 Na 2.78
Ag  0.0000  0.0000  0.5000  2 Pd 2.72


Which of them is most stable, and which least? Most stable: model Q; least stable: model P.


Model P:
# Cs2NaAgPt

A geometry-optimized Cs2NaAgPt structure (PBE, Alexandria).

Summary:
Total magnetic moment in μB per formula unit: 0.00
SG: P4/mmm, No. 123

Cell lengths 6.6824, 6.6824, 5.4980 Å; angles 90.00, 90.00, 90.00 degrees
Closest atoms and distances in Å follow each position.
Element x y z (fractional)
Cs  0.0000  0.5000  0.0000  2 Pt 3.34
Cs  0.5000  0.0000  0.0000  2 Pt 3.34
Na  0.0000  0.0000  0.5000  2 Pt 2.75
Ag  0.5000  0.5000  0.5000  8 Cs 4.33, 4 Na 4.73
Pt  0.0000  0.0000  0.0000  2 Na 2.75


Model Q:
# Cs2NaAgPt

A geometry-optimized Cs2NaAgPt structure (PBE, Alexandria).

Summary:
Total magnetic moment in μB per formula unit: 0.00
SG: P4/mmm, No. 123

Cell lengths 6.7246, 6.7246, 5.2909 Å; angles 90.00, 90.00, 90.00 degrees
Closest atoms and distances in Å follow each position.
Element x y z (fractional)
Cs  0.0000  0.5000  0.0000  2 Pt 3.36
Cs  0.5000  0.0000  0.0000  2 Pt 3.36
Na  0.5000  0.5000  0.5000  8 Cs 4.28, 4 Ag 4.75
Ag  0.0000  0.0000  0.5000  2 Pt 2.65
Pt  0.0000  0.0000  0.0000  2 Ag 2.65


Which of them is most stable, and which least? Most stable: model P; least stable: model Q.


Model P:
# CsNa2AgSn

A geometry-optimized CsNa2AgSn structure (PBE, Alexandria).

Summary:
Total magnetic moment in μB per formula unit: 0.00
SG: P4/mmm, No. 123

Cell lengths 6.0321, 6.0321, 5.4150 Å; angles 90.00, 90.00, 90.00 degrees
Closest atoms and distances in Å follow each position.
Element x y z (fractional)
Cs  0.5000  0.5000  0.5000  8 Na 4.05, 4 Ag 4.27
Na  0.0000  0.5000  0.0000  2 Sn 3.02
Na  0.5000  0.0000  0.0000  2 Sn 3.02
Sn  0.0000  0.0000  0.0000  2 Ag 2.71, 4 Na 3.02
Ag  0.0000  0.0000  0.5000  2 Sn 2.71


Model Q:
# CsNa2AgSn

A geometry-optimized CsNa2AgSn structure (PBE, Alexandria).

Summary:
Total magnetic moment in μB per formula unit: 0.00
SG: P4/mmm, No. 123

Cell lengths 5.9287, 5.9287, 5.2926 Å; angles 90.00, 90.00, 90.00 degrees
Closest atoms and distances in Å follow each position.
Element x y z (fractional)
Cs  0.5000  0.5000  0.5000  8 Na 3.97, 4 Sn 4.19
Na  0.0000  0.5000  0.0000  2 Ag 2.96
Na  0.5000  0.0000  0.0000  2 Ag 2.96
Sn  0.0000  0.0000  0.5000  2 Ag 2.65
Ag  0.0000  0.0000  0.0000  2 Sn 2.65


Which of them is most stable, and which least? Most stable: model P; least stable: model Q.